# 1
Material: HgPdI
Method: DFT, PBE
State: relaxed

It has space group P2/m (No. 10), with a = 3.544 Å, b = 4.311 Å, c = 5.429 Å, α = 90.00°, β = 90.10° and γ = 90.00°. Symmetry generates all atoms from Hg at (0.000, 0.000, 0.000), Pd at (0.500, 0.500, 0.000) and I at (0.500, 0.500, 0.500).

The relative energy among the computed polymorphs comes out at 11 meV/atom. Its density of states at the Fermi level is 0.614 states/eV per atom. Its formation energy from raw total energies is -0.2 eV per formula unit.

# 2
Material: HgPd2I2
Method: DFT, PBE
State: relaxed

It has space group C2/m (No. 12), with a = 8.471 Å, b = 4.612 Å, c = 8.537 Å, α = 90.00°, β = 108.32° and γ = 90.00°. Symmetry generates all atoms from Hg at (0.000, 0.000, 0.000), Pd at (0.107, 0.000, 0.326) and I at (0.216, 0.000, 0.682).

The relative energy among the computed polymorphs comes out at 0 meV/atom. Its density of states at the Fermi level is 0.481 states/eV per atom. Its formation energy from raw total energies is -0.1 eV per formula unit.

# 3
Material: HgPd2I6
Method: DFT, PBE
State: relaxed

It has space group C2/c (No. 15), with a = 18.330 Å, b = 13.933 Å, c = 7.039 Å, α = 90.00°, β = 112.22° and γ = 90.00°. Symmetry generates all atoms from Hg at (0.000, 0.182, 0.250), Pd at (0.211, 0.083, 0.444), I at (0.110, 0.098, 0.626), I at (0.145, 0.231, 0.202) and I at (0.203, 0.455, 0.780).

Its formation energy from raw total energies is -1.7 eV per formula unit.

# 4
Material: Hg2PdI2
Method: DFT, PBE
State: relaxed

It has space group I4/mmm (No. 139), with a = 3.955 Å, b = 3.955 Å, c = 19.604 Å, α = 90.00°, β = 90.00° and γ = 90.00°. Symmetry generates all atoms from Hg at (0.000, 0.500, 0.250), Pd at (0.000, 0.000, 0.000) and I at (0.000, 0.000, 0.414).

The relative energy among the computed polymorphs comes out at 253 meV/atom. Its density of states at the Fermi level is 1.098 states/eV per atom. Its formation energy from raw total energies is 1.4 eV per formula unit.